Record 1
Entry from Alexandria via LeMat-Bulk: Mn2GaReSe after structural relaxation (PBE).

abc: 2.973 4.813 5.573
angles: 102.51 90.04 107.96
Each line ends with the local moment (μB).
Atoms (fractional coordinates):
Mn  0.914  0.183  0.841  2.39
Mn  0.592  0.538  0.632  -0.23
Re  0.291  0.938  0.503  -0.22
Ga  0.212  0.777  0.990  -0.02
Se  0.978  0.312  0.312  0.00

## Properties
Symmetry = Cm (8)
Raw formation energy = 12.17 kJ per mole of atoms
Magnetic moment = 1.994 μB per formula unit
E above lowest polymorph = 11.7 kJ/mol of atoms

Record 2
Entry from Alexandria via LeMat-Bulk: Mn2GaReSe after structural relaxation (PBE).

abc: 2.890 2.890 8.422
angles: 90.00 90.00 90.00
Atoms (fractional coordinates):
Se  0.500  0.500  0.595
Mn  0.000  0.000  0.750
Mn  0.000  0.000  0.132
Re  0.500  0.500  0.294
Ga  0.500  0.500  0.945

## Properties
Symmetry = P4mm (99)
Raw formation energy = 8.93 kJ per mole of atoms
Magnetic moment = 0.000 μB per formula unit
E above lowest polymorph = 8.4 kJ/mol of atoms

Record 3
Entry from Alexandria via LeMat-Bulk: Mn2GaReSe after structural relaxation (PBE).

abc: 5.721 3.061 8.888
angles: 90.00 103.39 90.00
Each line ends with the local moment (μB).
Atoms (fractional coordinates):
Se  0.325  0.500  0.328  0.01
Se  0.325  0.000  0.828  0.01
Ga  0.996  0.000  0.065  -0.01
Ga  0.996  0.500  0.565  -0.01
Mn  0.501  0.000  0.142  2.42
Mn  0.501  0.500  0.642  2.42
Mn  0.645  0.500  0.943  -2.18
Mn  0.645  0.000  0.443  -2.18
Re  0.841  0.500  0.265  -0.10
Re  0.841  0.000  0.765  -0.10

## Properties
Symmetry = Cm (8)
Raw formation energy = 10.78 kJ per mole of atoms
Magnetic moment = 0.167 μB per formula unit
E above lowest polymorph = 10.3 kJ/mol of atoms

Record 4
Entry from Alexandria via LeMat-Bulk: Mn2GaReSe after structural relaxation (PBE).

abc: 3.670 3.670 11.866
angles: 90.00 90.00 90.00
Each line ends with the local moment (μB).
Atoms (fractional coordinates):
Se  0.000  0.000  0.662  -0.08
Se  0.500  0.500  0.162  -0.08
Re  0.000  0.000  0.440  -0.43
Re  0.500  0.500  0.940  -0.43
Mn  0.000  0.500  0.795  1.53
Mn  0.500  0.000  0.295  1.53
Mn  0.500  0.000  0.795  1.53
Mn  0.000  0.500  0.295  1.53
Ga  0.000  0.000  0.962  -0.01
Ga  0.500  0.500  0.462  -0.01

## Properties
Symmetry = I4mm (107)
Raw formation energy = 3.27 kJ per mole of atoms
Magnetic moment = 2.597 μB per formula unit
E above lowest polymorph = 2.8 kJ/mol of atoms

Which formula does entry 4 have?
Mn2GaReSe

magnetic moment of number 2 (Mn2GaReSe)?
0.000 μB per formula unit

What is the raw formation energy in the first record?
12.17 kJ per mole of atoms